Entry from Alexandria: a relaxed FeCo5 crystal (GGA-PBE).

Properties
Energy of formation from the pure elements ... 22.9 meV/atom
DOS(E_F) ... 0.855 states/eV/atom
V ... 11.0 Å³/atom
Energy ... -7.31 eV/atom
Spin magnetization ... 10.26 μB/f.u.

a = 4.071 Å, b = 2.487 Å, c = 13.009 Å
α = 90.00°, β = 90.00°, γ = 90.00°
Fractional positions:
Fe 0.000 0.000 0.000
Fe 0.000 0.500 0.500
Co 0.000 0.000 0.332
Co 0.000 0.000 0.668
Co 0.000 0.500 0.168
Co 0.000 0.500 0.832
Co 0.500 0.000 0.222
Co 0.500 0.000 0.558
Co 0.500 0.000 0.889
Co 0.500 0.500 0.058
Co 0.500 0.500 0.389
Co 0.500 0.500 0.722